Here is a relaxed structure of ReP2Ir from Alexandria via LeMat-Bulk. Energies are from PBE-GGA.

a = 5.3387 Å, b = 5.3387 Å, c = 5.3387 Å
α = 147.91°, β = 135.22°, γ = 56.14°
Fractional coordinates of all 4 atoms:
Re  0.5216  0.5216  0.0000
P  0.7306  0.2306  0.5000
P  0.0105  0.0105  0.0000
Ir  0.2374  0.7374  0.5000

Calculated values
calculated formation energy	0.14	eV/atom
space-group type	No. 44
E	-7.90	eV/atom
energy above the lowest structure with this stoichiometry	0.439	eV/atom